GGA-PBE ScRe2Pb, optimized geometry; symmetry = No. 6; calculated formation energy = 0.332 eV/atom; crystal system = monoclinic; uncorrected energy = -33.61 eV/cell
1.0
4.132 0.000 0.000
0.000 3.036 0.015
0.000 2.426 6.010
Pb Re Sc
1 2 1
Cartesian
2.066 4.173 4.524
0.000 0.142 0.306
2.066 1.260 1.353
0.000 2.617 2.855